1.
This record from Alexandria via LeMat-Bulk describes an optimized crystal structure of NiAgI3. The functional is PBE.

The structure in CIF format:
```
data_NiAgI3
_chemical_formula_sum 'Ni1 Ag1 I3'
_cell_length_a 5.3507
_cell_length_b 5.3507
_cell_length_c 5.3507
_cell_angle_alpha 90.00
_cell_angle_beta 90.00
_cell_angle_gamma 90.00
_symmetry_space_group_name_H-M 'P m -3 m'
_symmetry_Int_Tables_number 221
_symmetry_space_group_name_Hall '-P 4 2 3'
loop_
_atom_site_label
_atom_site_fract_x
_atom_site_fract_y
_atom_site_fract_z
Ni1 0.0000 0.0000 0.0000
Ag1 0.5000 0.5000 0.5000
I1 0.0000 0.0000 0.5000
```

E: -2.424 eV/atom
distance to the lowest polymorph of the same formula: 0.00 eV/f.u.
raw formation energy: 1.164 eV per formula unit
size of the total moment: 0.00 μB/f.u.
density of states at the Fermi level: 5.67 states/eV/cell



2.
This record from Alexandria via LeMat-Bulk describes an optimized crystal structure of TlRuBr4. The functional is PBE.

The structure in CIF format:
```
data_TlRuBr4
_chemical_formula_sum 'Tl4 Ru4 Br16'
_cell_length_a 9.0250
_cell_length_b 9.0250
_cell_length_c 9.0250
_cell_angle_alpha 90.00
_cell_angle_beta 90.00
_cell_angle_gamma 90.00
_symmetry_space_group_name_H-M 'F -4 3 m'
_symmetry_Int_Tables_number 216
_symmetry_space_group_name_Hall 'F -4 2 3'
loop_
_atom_site_label
_atom_site_fract_x
_atom_site_fract_y
_atom_site_fract_z
Tl1 0.0000 0.0000 0.0000
Ru1 0.2500 0.2500 0.2500
Br1 0.1243 0.1243 0.6243
```

E: -2.172 eV/atom
distance to the lowest polymorph of the same formula: 7.79 eV/f.u.
raw formation energy: 5.304 eV per formula unit
size of the total moment: 1.70 μB/f.u.
density of states at the Fermi level: 48.36 states/eV/cell



3.
This record from Alexandria via LeMat-Bulk describes an optimized crystal structure of La4NdY7. The functional is PBE.

The structure in CIF format:
```
data_La4NdY7
_chemical_formula_sum 'La4 Nd1 Y7'
_cell_length_a 6.7027
_cell_length_b 6.9986
_cell_length_c 9.1792
_cell_angle_alpha 83.75
_cell_angle_beta 77.21
_cell_angle_gamma 81.04
_symmetry_space_group_name_H-M 'P -1'
_symmetry_Int_Tables_number 2
_symmetry_space_group_name_Hall '-P 1'
loop_
_atom_site_label
_atom_site_fract_x
_atom_site_fract_y
_atom_site_fract_z
La1 0.1441 0.3052 0.2882
La2 0.3281 0.8934 0.6900
Nd1 0.5000 0.5000 0.0000
Y1 0.0096 0.2517 0.9560
Y2 0.1763 0.7963 0.3546
Y3 0.3172 0.3997 0.6261
Y4 0.5000 0.0000 0.0000
```

E: -5.727 eV/atom
formation enthalpy at 0 K: 0.084 eV/atom
distance to the lowest polymorph of the same formula: 0.00 eV/f.u.
size of the total moment: 0.00 μB/f.u.
density of states at the Fermi level: 20.10 states/eV/cell



4.
This record from Alexandria via LeMat-Bulk describes an optimized crystal structure of La2ScIr. The functional is PBE.

The structure in CIF format:
```
data_La2ScIr
_chemical_formula_sum 'La2 Sc1 Ir1'
_cell_length_a 4.2837
_cell_length_b 4.0579
_cell_length_c 6.4811
_cell_angle_alpha 90.00
_cell_angle_beta 101.33
_cell_angle_gamma 90.00
_symmetry_space_group_name_H-M 'P 1 2/m 1'
_symmetry_Int_Tables_number 10
_symmetry_space_group_name_Hall '-P 2y'
loop_
_atom_site_label
_atom_site_fract_x
_atom_site_fract_y
_atom_site_fract_z
La1 0.1148 0.0000 0.2854
Sc1 0.5000 0.5000 0.0000
Ir1 0.5000 0.5000 0.5000
```

E: -6.531 eV/atom
formation enthalpy at 0 K: -0.269 eV/atom
distance to the lowest polymorph of the same formula: 0.47 eV/f.u.
size of the total moment: 0.00 μB/f.u.
density of states at the Fermi level: 4.20 states/eV/cell



5.
This record from Alexandria via LeMat-Bulk describes an optimized crystal structure of CaAsPd4. The functional is PBE.

The structure in CIF format:
```
data_CaAsPd4
_chemical_formula_sum 'Ca2 As2 Pd8'
_cell_length_a 7.6215
_cell_length_b 4.0513
_cell_length_c 6.9945
_cell_angle_alpha 90.00
_cell_angle_beta 90.00
_cell_angle_gamma 90.00
_symmetry_space_group_name_H-M 'P m m a'
_symmetry_Int_Tables_number 51
_symmetry_space_group_name_Hall '-P 2a 2a'
loop_
_atom_site_label
_atom_site_fract_x
_atom_site_fract_y
_atom_site_fract_z
Ca1 0.2500 0.0000 0.1374
As1 0.2500 0.0000 0.7209
Pd1 0.0000 0.0000 0.5000
Pd2 0.0566 0.5000 0.8000
Pd3 0.2500 0.5000 0.4410
```

E: -5.096 eV/atom
formation enthalpy at 0 K: -0.525 eV/atom
size of the total moment: 0.00 μB/f.u.
density of states at the Fermi level: 6.27 states/eV/cell



6.
This record from Alexandria via LeMat-Bulk describes an optimized crystal structure of TbNdHo2. The functional is PBE.

The structure in CIF format:
```
data_TbNdHo2
_chemical_formula_sum 'Tb4 Nd4 Ho8'
_cell_length_a 10.1148
_cell_length_b 5.0496
_cell_length_c 10.0862
_cell_angle_alpha 90.00
_cell_angle_beta 90.00
_cell_angle_gamma 90.00
_symmetry_space_group_name_H-M 'P n m a'
_symmetry_Int_Tables_number 62
_symmetry_space_group_name_Hall '-P 2ac 2n'
loop_
_atom_site_label
_atom_site_fract_x
_atom_site_fract_y
_atom_site_fract_z
Tb1 0.1250 0.2500 0.2482
Nd1 0.1265 0.7500 0.4999
Ho1 0.1230 0.7500 0.9999
Ho2 0.1250 0.2500 0.7516
```

E: -4.618 eV/atom
formation enthalpy at 0 K: 0.020 eV/atom
distance to the lowest polymorph of the same formula: 0.09 eV/f.u.
size of the total moment: 0.00 μB/f.u.
density of states at the Fermi level: 22.77 states/eV/cell



7.
This record from Alexandria via LeMat-Bulk describes an optimized crystal structure of HfPIr2. The functional is PBE.

The structure in CIF format:
```
data_HfPIr2
_chemical_formula_sum 'Hf4 P4 Ir8'
_cell_length_a 5.4323
_cell_length_b 5.4323
_cell_length_c 11.7241
_cell_angle_alpha 90.00
_cell_angle_beta 90.00
_cell_angle_gamma 90.00
_symmetry_space_group_name_H-M 'I -4 2 d'
_symmetry_Int_Tables_number 122
_symmetry_space_group_name_Hall 'I -4 2bw'
loop_
_atom_site_label
_atom_site_fract_x
_atom_site_fract_y
_atom_site_fract_z
Hf1 0.0000 0.0000 0.0000
P1 0.0000 0.0000 0.5000
Ir1 0.1923 0.2500 0.6250
```

E: -8.550 eV/atom
formation enthalpy at 0 K: -0.278 eV/atom
size of the total moment: 0.00 μB/f.u.
density of states at the Fermi level: 8.18 states/eV/cell



8.
This record from Alexandria via LeMat-Bulk describes an optimized crystal structure of In3Se2S2. The functional is PBE.

The structure in CIF format:
```
data_In3Se2S2
_chemical_formula_sum 'In6 Se4 S4'
_cell_length_a 13.0340
_cell_length_b 3.9257
_cell_length_c 6.8231
_cell_angle_alpha 90.00
_cell_angle_beta 98.19
_cell_angle_gamma 90.00
_symmetry_space_group_name_H-M 'C 1 2/m 1'
_symmetry_Int_Tables_number 12
_symmetry_space_group_name_Hall '-C 2y'
loop_
_atom_site_label
_atom_site_fract_x
_atom_site_fract_y
_atom_site_fract_z
In1 0.0000 0.0000 0.0000
In2 0.2422 0.5000 0.2488
Se1 0.1242 0.0000 0.3800
S1 0.1317 0.5000 0.8885
```

E: -3.841 eV/atom
distance to the lowest polymorph of the same formula: 0.00 eV/f.u.
raw formation energy: -3.445 eV per formula unit
size of the total moment: 0.00 μB/f.u.
density of states at the Fermi level: 2.43 states/eV/cell



9.
This record from Alexandria via LeMat-Bulk describes an optimized crystal structure of Th15TlIn4. The functional is PBE.

The structure in CIF format:
```
data_Th15TlIn4
_chemical_formula_sum 'Th15 Tl1 In4'
_cell_length_a 4.9563
_cell_length_b 4.9563
_cell_length_c 24.7534
_cell_angle_alpha 90.00
_cell_angle_beta 90.00
_cell_angle_gamma 90.00
_symmetry_space_group_name_H-M 'P 4/m m m'
_symmetry_Int_Tables_number 123
_symmetry_space_group_name_Hall '-P 4 2'
loop_
_atom_site_label
_atom_site_fract_x
_atom_site_fract_y
_atom_site_fract_z
Th1 0.0000 0.0000 0.0000
Th2 0.0000 0.0000 0.2003
Th3 0.0000 0.0000 0.4001
Th4 0.0000 0.5000 0.1006
Th5 0.0000 0.5000 0.3002
Th6 0.0000 0.5000 0.5000
Tl1 0.5000 0.5000 0.0000
In1 0.5000 0.5000 0.2001
In2 0.5000 0.5000 0.4001
```

E: -6.372 eV/atom
formation enthalpy at 0 K: -0.141 eV/atom
size of the total moment: 0.00 μB/f.u.
density of states at the Fermi level: 23.52 states/eV/cell



| no. | calculated volume (Å³ per cell) |
| --- | --- |
| 1 | 153 |
| 2 | 735 |
| 3 | 414 |
| 4 | 110 |
| 5 | 216 |
| 6 | 515 |
| 7 | 346 |
| 8 | 346 |
| 9 | 608 |